Entry 1:
DFT (PBE-GGA) results for an optimized crystal structure of KTe2Au.

Computed properties:
total magnetic moment = 0.000 Bohr magnetons per cell
E_form (uncorrected) = -0.4549 eV per atom
symmetry = Immm, No. 71

Cell and atoms, written as CIF:
```
data_KTe2Au
_cell_length_a 6.725
_cell_length_b 6.725
_cell_length_c 6.725
_cell_angle_alpha 144.48
_cell_angle_beta 124.25
_cell_angle_gamma 67.86
_symmetry_space_group_name_H-M 'P 1'
_symmetry_Int_Tables_number 1
_symmetry_space_group_name_Hall 'P 1'
loop_
_atom_site_label
_atom_site_fract_x
_atom_site_fract_y
_atom_site_fract_z
K1 0.000 0.000 0.000
Te1 0.341 0.841 0.500
Te2 0.659 0.159 0.500
Au1 0.500 0.500 0.000
```

=====

Entry 2:
DFT (PBE-GGA) results for an optimized crystal structure of CdTe2PtN.

Computed properties:
total magnetic moment = 0.000 Bohr magnetons per cell
energy above the most stable polymorph in this dataset = 0.00 eV/f.u.
E_form (uncorrected) = 0.3739 eV per atom
symmetry = P4/mmm, No. 123

Cell and atoms, written as CIF:
```
data_CdTe2PtN
_cell_length_a 5.704
_cell_length_b 5.704
_cell_length_c 3.686
_cell_angle_alpha 90.00
_cell_angle_beta 90.00
_cell_angle_gamma 90.00
_symmetry_space_group_name_H-M 'P 1'
_symmetry_Int_Tables_number 1
_symmetry_space_group_name_Hall 'P 1'
loop_
_atom_site_label
_atom_site_fract_x
_atom_site_fract_y
_atom_site_fract_z
Cd1 0.000 0.000 0.000
Te1 0.000 0.500 0.500
Te2 0.500 0.000 0.500
Pt1 0.500 0.500 0.500
N1 0.500 0.500 0.000
```

=====

Entry 3:
DFT (PBE-GGA) results for an optimized crystal structure of RbReSb2I.

Computed properties:
total magnetic moment = 0.000 Bohr magnetons per cell
energy above the most stable polymorph in this dataset = 12.55 eV/f.u.
E_form (uncorrected) = 2.6506 eV per atom
symmetry = P4/mmm, No. 123

Cell and atoms, written as CIF:
```
data_RbReSb2I
_cell_length_a 5.866
_cell_length_b 5.866
_cell_length_c 5.966
_cell_angle_alpha 90.00
_cell_angle_beta 90.00
_cell_angle_gamma 90.00
_symmetry_space_group_name_H-M 'P 1'
_symmetry_Int_Tables_number 1
_symmetry_space_group_name_Hall 'P 1'
loop_
_atom_site_label
_atom_site_fract_x
_atom_site_fract_y
_atom_site_fract_z
Rb1 0.000 0.000 0.000
Re1 0.500 0.500 0.500
Sb1 0.000 0.500 0.000
Sb2 0.500 0.000 0.000
I1 0.000 0.000 0.500
```

=====

Entry 4:
DFT (PBE-GGA) results for an optimized crystal structure of TaP2CO.

Computed properties:
total magnetic moment = 0.000 Bohr magnetons per cell
energy above the most stable polymorph in this dataset = 0.00 eV/f.u.
E_form (uncorrected) = 0.6783 eV per atom
symmetry = P4/mmm, No. 123

Cell and atoms, written as CIF:
```
data_TaP2CO
_cell_length_a 3.858
_cell_length_b 3.858
_cell_length_c 3.925
_cell_angle_alpha 90.00
_cell_angle_beta 90.00
_cell_angle_gamma 90.00
_symmetry_space_group_name_H-M 'P 1'
_symmetry_Int_Tables_number 1
_symmetry_space_group_name_Hall 'P 1'
loop_
_atom_site_label
_atom_site_fract_x
_atom_site_fract_y
_atom_site_fract_z
Ta1 0.000 0.000 0.000
P1 0.000 0.500 0.500
P2 0.500 0.000 0.500
C1 0.500 0.500 0.500
O1 0.500 0.500 0.000
```

=====

Entry 5:
DFT (PBE-GGA) results for an optimized crystal structure of Mg2CrHg.

Computed properties:
total magnetic moment = 3.774 Bohr magnetons per cell
symmetry = Pmmm, No. 47
formation energy = 54 kJ/mol of formula units

Cell and atoms, written as CIF:
```
data_Mg2CrHg
_cell_length_a 4.095
_cell_length_b 4.296
_cell_length_c 4.406
_cell_angle_alpha 90.00
_cell_angle_beta 90.00
_cell_angle_gamma 90.00
_symmetry_space_group_name_H-M 'P 1'
_symmetry_Int_Tables_number 1
_symmetry_space_group_name_Hall 'P 1'
loop_
_atom_site_label
_atom_site_fract_x
_atom_site_fract_y
_atom_site_fract_z
Mg1 0.000 0.000 0.000
Mg2 0.000 0.500 0.500
Cr1 0.500 0.000 0.500
Hg1 0.500 0.500 0.000
```

=====

Entry 6:
DFT (PBE-GGA) results for an optimized crystal structure of HgOs3O.

Computed properties:
total magnetic moment = 0.000 Bohr magnetons per cell
energy above the most stable polymorph in this dataset = 0.00 eV/f.u.
E_form (uncorrected) = 1.1593 eV per atom
symmetry = Pm-3m, No. 221

Cell and atoms, written as CIF:
```
data_HgOs3O
_cell_length_a 4.170
_cell_length_b 4.170
_cell_length_c 4.170
_cell_angle_alpha 90.00
_cell_angle_beta 90.00
_cell_angle_gamma 90.00
_symmetry_space_group_name_H-M 'P 1'
_symmetry_Int_Tables_number 1
_symmetry_space_group_name_Hall 'P 1'
loop_
_atom_site_label
_atom_site_fract_x
_atom_site_fract_y
_atom_site_fract_z
Hg1 0.000 0.000 0.000
Os1 0.000 0.500 0.500
Os2 0.500 0.000 0.500
Os3 0.500 0.500 0.000
O1 0.500 0.500 0.500
```

=====

Entry 7:
DFT (PBE-GGA) results for an optimized crystal structure of H4IrI3.

Computed properties:
total magnetic moment = 0.000 Bohr magnetons per cell
symmetry = Pmn2_1, No. 31
calculated total energy = -3.27 eV/atom

Cell and atoms, written as CIF:
```
data_H4IrI3
_cell_length_a 13.500
_cell_length_b 6.949
_cell_length_c 5.420
_cell_angle_alpha 90.00
_cell_angle_beta 90.00
_cell_angle_gamma 90.00
_symmetry_space_group_name_H-M 'P 1'
_symmetry_Int_Tables_number 1
_symmetry_space_group_name_Hall 'P 1'
loop_
_atom_site_label
_atom_site_fract_x
_atom_site_fract_y
_atom_site_fract_z
H1 0.000 0.046 0.000
H2 0.000 0.347 0.520
H3 0.064 0.348 0.023
H4 0.436 0.652 0.523
H5 0.500 0.653 0.020
H6 0.500 0.954 0.500
H7 0.564 0.652 0.523
H8 0.936 0.348 0.023
Ir1 0.000 0.230 0.831
Ir2 0.500 0.770 0.331
I1 0.000 0.599 0.549
I2 0.183 0.144 0.732
I3 0.317 0.856 0.232
I4 0.500 0.401 0.049
I5 0.683 0.856 0.232
I6 0.817 0.144 0.732
```

=====

Entry 8:
DFT (PBE-GGA) results for an optimized crystal structure of VSiP.

Computed properties:
total magnetic moment = 0.000 Bohr magnetons per cell
E_form (uncorrected) = -0.3283 eV per atom
symmetry = Pm, No. 6

Cell and atoms, written as CIF:
```
data_VSiP
_cell_length_a 4.875
_cell_length_b 3.248
_cell_length_c 5.514
_cell_angle_alpha 90.00
_cell_angle_beta 101.98
_cell_angle_gamma 90.00
_symmetry_space_group_name_H-M 'P 1'
_symmetry_Int_Tables_number 1
_symmetry_space_group_name_Hall 'P 1'
loop_
_atom_site_label
_atom_site_fract_x
_atom_site_fract_y
_atom_site_fract_z
V1 0.000 0.000 0.000
V2 0.367 0.500 0.407
Si1 0.517 0.000 0.098
Si2 0.852 0.500 0.310
P1 0.206 0.000 0.652
P2 0.731 0.500 0.755
```